GGA-PBE RbNaZn3, optimized geometry; energy above the most stable polymorph in this dataset = 0.0 kJ/mol of atoms; symmetry = Pm-3m (221); ρ = 2.81 g/cm³; total magnetic moment = 0.000 Bohr magnetons per cell; ΔE_f = 0.39 eV/atom; energy = -0.834 eV/atom; N(E_F) = 3.4 states/eV/cell
1.0
-4.2145 1.4251 -3.4815
-3.7582 -1.3637 3.9912
0.1664 5.2937 1.9654
Zn Rb Na
3 1 1
Direct
0.0000 0.0000 0.5000 Zn
0.0000 0.5000 0.0000 Zn
0.5000 0.0000 0.0000 Zn
0.5000 0.5000 0.5000 Rb
0.0000 0.0000 0.0000 Na